(1)
Entry from Alexandria via LeMat-Bulk: a relaxed structure of LaNb2FeW (PBE).

Cell and atoms, written as POSCAR:
```
LaNb2FeW
1.0
-1.601 2.808 3.463
-4.377 -0.570 -1.561
-0.514 -3.772 2.820
Nb W La Fe
2 1 1 1
Direct
0.500 0.000 0.000
0.000 0.000 0.500
0.000 0.500 0.000
0.500 0.500 0.500
0.000 0.000 0.000
```

Properties
symmetry	P4/mmm (123)


(2)
Entry from Alexandria via LeMat-Bulk: a relaxed structure of LiY2Ti2 (PBE).

Cell and atoms, written as POSCAR:
```
LiY2Ti2
1.0
-2.564 5.768 6.006
-4.008 -6.363 4.400
2.767 -0.557 1.716
Li Y Ti
2 4 4
Direct
0.000 0.000 0.000
0.500 0.500 0.000
0.307 0.193 0.500
0.193 0.693 0.500
0.807 0.307 0.500
0.693 0.807 0.500
0.599 0.099 0.000
0.901 0.599 0.000
0.099 0.401 0.000
0.401 0.901 0.000
```

Properties
symmetry	P4/mbm (127)


| no. | total DFT energy (no corrections) (eV per atom) | formation energy (eV per formula unit) | total magnetic moment (μB/f.u.) |
| --- | --- | --- | --- |
| 1 | -8.61 | 3.4 | 0.49 |
| 2 | -5.76 | 1.8 | 0.00 |